Density functional theory data (PBE-GGA) for a geometry-optimized Zn3Cd structure.

Lattice parameters (Å, degrees): 3.546 3.546 5.520 90.00 90.00 90.00
Space group P4/mmm (No. 123)
Symmetry-distinct sites (fractional):
1 Zn 0.000 0.000 0.000
2 Zn 0.500 0.500 0.236
3 Cd 0.000 0.000 0.500

ΔE_f ... 0.074 eV per atom
Final energy ... -1.11 eV per atom
V ... 17.35 Å³ per atom

Density functional theory data (PBE-GGA) for a geometry-optimized Zn2Cd structure.

Lattice parameters (Å, degrees): 6.421 6.421 5.796 90.00 90.00 90.00
Space group I4/mcm (No. 140)
Symmetry-distinct sites (fractional):
1 Zn 0.140 0.360 0.000
2 Cd 0.000 0.000 0.250

ΔE_f ... 0.211 eV per atom
Final energy ... -0.94 eV per atom
V ... 19.92 Å³ per atom

Density functional theory data (PBE-GGA) for a geometry-optimized Zn3Cd structure.

Lattice parameters (Å, degrees): 5.668 8.761 5.602 90.00 90.00 90.00
Space group Pnma (No. 62)
Symmetry-distinct sites (fractional):
1 Zn 0.124 0.250 0.124
2 Zn 0.204 0.511 0.867
3 Cd 0.082 0.250 0.616

ΔE_f ... 0.075 eV per atom
Final energy ... -1.11 eV per atom
V ... 17.39 Å³ per atom

Density functional theory data (PBE-GGA) for a geometry-optimized ZnCd8 structure.

Lattice parameters (Å, degrees): 9.442 9.442 4.414 90.00 90.00 90.00
Space group I4/mmm (No. 139)
Symmetry-distinct sites (fractional):
1 Zn 0.000 0.000 0.000
2 Cd 0.000 0.329 0.000
3 Cd 0.163 0.163 0.500

ΔE_f ... 0.037 eV per atom
Final energy ... -0.92 eV per atom
V ... 21.86 Å³ per atom